This record from Alexandria describes a PBEsol-optimized structure of TmCdHg2. The functional is meta-GGA SCAN.

Output
Raw total energy: -55.12 eV/atom
Space-group type: Fm-3m (225)
Energy relative to the elements: -184 kJ/mol of formula units

Cell: 4.9476 4.9476 4.9476 Å, 60.00 60.00 60.00°
Atoms (fractional coordinates):
Hg 0.7500 0.7500 0.7500
Hg 0.2500 0.2500 0.2500
Tm 0.0000 0.0000 0.0000
Cd 0.5000 0.5000 0.5000